Record 1
The following is a PBE calculation of an optimized crystal structure of NdTcN, from the Alexandria database.

## Properties
Space-group type = C2/m (12)
N(E_F) = 2.52 states/eV/f.u.
Calculated density = 7.30 g/cm³
E_form (uncorrected) = -0.365 eV/atom
M_tot = 0.00 Bohr magnetons per cell

Geometry as extended XYZ:
```
6
Lattice="4.028 1.635 0.329 1.615 4.036 0.329 -2.900 -2.914 8.223" Properties=species:S:1:pos:R:3 pbc="T T T"
Nd 3.384 3.400 6.431
Nd -0.640 -0.643 2.449
Tc 3.609 3.626 0.823
Tc -0.865 -0.870 8.056
N 1.191 1.197 1.581
N 1.552 1.560 7.299
```

***

Record 2
The following is a PBE calculation of an optimized crystal structure of Ac4Te2OsBr, from the Alexandria database.

## Properties
Space-group type = P2/m (10)
N(E_F) = 5.69 states/eV/f.u.
Calculated density = 8.32 g/cm³
E_form (uncorrected) = -1.044 eV/atom
M_tot = 0.00 Bohr magnetons per cell

Geometry as extended XYZ:
```
8
Lattice="-0.974 -3.425 -2.696 7.450 0.580 -3.428 4.914 -4.806 4.331" Properties=species:S:1:pos:R:3 pbc="T T T"
Ac 2.401 -4.596 -2.428
Ac 6.219 -2.695 -2.521
Ac 8.989 -3.055 0.635
Ac 5.172 -4.955 0.728
Te 1.970 -4.116 0.817
Te 4.914 -4.806 4.331
Os 6.182 -2.113 0.452
Br 3.238 -1.423 -3.062
```

***

Record 3
The following is a PBE calculation of an optimized crystal structure of Ca2TlIn, from the Alexandria database.

## Properties
Space-group type = F-43m (216)
N(E_F) = 3.20 states/eV/f.u.
Calculated density = 5.42 g/cm³
M_tot = 0.00 Bohr magnetons per cell
Formation enthalpy at 0 K = -0.166 eV/atom

Geometry as extended XYZ:
```
4
Lattice="-3.333 -3.649 -2.577 0.616 -5.464 0.913 -3.851 -2.791 2.906" Properties=species:S:1:pos:R:3 pbc="T T T"
In -3.284 -5.952 0.621
Ca -1.642 -2.976 0.311
Ca 0.000 0.000 0.000
Tl -4.927 -8.928 0.932
```

***

Record 4
The following is a PBE calculation of an optimized crystal structure of LiCo3Pt, from the Alexandria database.

## Properties
Space-group type = Pm-3m (221)
N(E_F) = 5.64 states/eV/f.u.
Calculated density = 10.51 g/cm³
M_tot = 5.26 Bohr magnetons per cell
Formation enthalpy at 0 K = 0.729 eV/atom

Geometry as extended XYZ:
```
5
Lattice="-2.582 1.860 2.276 -1.824 -3.389 0.700 2.305 -0.599 3.104" Properties=species:S:1:pos:R:3 pbc="T T T"
Pt -1.051 -1.064 3.040
Co 1.152 -0.300 1.552
Co -1.291 0.930 1.138
Co -0.912 -1.695 0.350
Li 0.000 0.000 0.000
```

***

Record 5
The following is a PBE calculation of an optimized crystal structure of YMn2Pd9, from the Alexandria database.

## Properties
Space-group type = P4/mmm (123)
N(E_F) = 12.25 states/eV/f.u.
Calculated density = 10.04 g/cm³
M_tot = 8.54 Bohr magnetons per cell
Formation enthalpy at 0 K = -0.414 eV/atom

Geometry as extended XYZ:
```
12
Lattice="4.015 0.000 0.000 0.000 4.015 0.000 0.000 0.000 11.871" Properties=species:S:1:pos:R:3 pbc="T T T"
Pd 2.007 0.000 5.936
Pd 0.000 2.007 2.135
Pd 2.007 0.000 9.737
Pd 2.007 2.007 0.000
Pd 0.000 2.007 9.737
Pd 0.000 2.007 5.936
Pd 2.007 2.007 4.026
Pd 2.007 2.007 7.846
Pd 2.007 0.000 2.135
Mn 0.000 0.000 4.053
Mn 0.000 0.000 7.818
Y 0.000 0.000 0.000
```

***

Record 6
The following is a PBE calculation of an optimized crystal structure of LiMgBMo2, from the Alexandria database.

## Properties
Space-group type = P4/mmm (123)
N(E_F) = 4.73 states/eV/f.u.
Calculated density = 4.69 g/cm³
M_tot = 1.71 Bohr magnetons per cell
Formation enthalpy at 0 K = 2.386 eV/atom

Geometry as extended XYZ:
```
5
Lattice="4.654 0.000 0.000 0.000 3.821 0.000 0.000 0.000 4.654" Properties=species:S:1:pos:R:3 pbc="T T T"
Mo 0.000 0.000 2.327
Mo 2.327 0.000 0.000
Mg 0.000 0.000 0.000
Li 0.000 1.911 0.000
B 2.327 1.911 2.327
```

***

Record 7
The following is a PBE calculation of an optimized crystal structure of Tb4NdDy2, from the Alexandria database.

## Properties
Space-group type = P2_1/m (11)
N(E_F) = 11.75 states/eV/f.u.
Calculated density = 8.11 g/cm³
M_tot = 0.00 Bohr magnetons per cell
Formation enthalpy at 0 K = 0.125 eV/atom

Geometry as extended XYZ:
```
14
Lattice="6.106 0.000 -0.397 0.000 6.587 0.000 -2.562 0.000 11.417" Properties=species:S:1:pos:R:3 pbc="T T T"
Tb 3.165 3.241 3.042
Tb 0.379 3.346 7.978
Tb 3.779 1.647 6.206
Tb 3.880 4.940 9.180
Tb -0.336 1.647 1.840
Tb -0.235 4.940 4.814
Tb 3.165 0.053 3.042
Tb 0.379 6.534 7.978
Dy 2.887 4.940 6.023
Dy -0.155 1.647 11.197
Dy 0.657 1.647 4.998
Dy 3.699 4.940 -0.177
Nd 0.713 4.940 1.533
Nd 2.830 1.647 9.487
```

***

Record 8
The following is a PBE calculation of an optimized crystal structure of BaSrTl2, from the Alexandria database.

## Properties
Space-group type = I-42d (122)
N(E_F) = 6.86 states/eV/f.u.
Calculated density = 6.17 g/cm³
M_tot = 0.00 Bohr magnetons per cell
Formation enthalpy at 0 K = -0.107 eV/atom

Geometry as extended XYZ:
```
8
Lattice="9.295 0.000 0.000 0.000 9.295 0.000 4.648 4.648 3.951" Properties=species:S:1:pos:R:3 pbc="T T T"
Tl 11.619 11.487 2.963
Tl 2.456 6.972 0.988
Tl 6.839 2.324 0.988
Tl 6.972 7.104 2.963
Sr 4.648 9.295 1.975
Sr 4.648 4.648 0.000
Ba 0.000 0.000 0.000
Ba 9.295 4.648 1.975
```

***

Record 9
The following is a PBE calculation of an optimized crystal structure of TbPmZnTc, from the Alexandria database.

## Properties
Space-group type = F-43m (216)
N(E_F) = 1.50 states/eV/f.u.
Calculated density = 8.78 g/cm³
M_tot = 0.00 Bohr magnetons per cell
Formation enthalpy at 0 K = -0.086 eV/atom

Geometry as extended XYZ:
```
4
Lattice="-1.789 3.743 2.790 -2.765 -0.998 4.044 1.861 0.825 4.566" Properties=species:S:1:pos:R:3 pbc="T T T"
Pm -2.019 2.677 8.551
Zn 0.000 0.000 0.000
Tc -1.346 1.785 5.701
Tb -0.673 0.892 2.850
```

***

Record 10
The following is a PBE calculation of an optimized crystal structure of Tb6BeSe5, from the Alexandria database.

## Properties
Space-group type = C2/m (12)
N(E_F) = 3.71 states/eV/f.u.
Calculated density = 7.73 g/cm³
E_form (uncorrected) = -1.514 eV/atom
M_tot = 0.00 Bohr magnetons per cell

Geometry as extended XYZ:
```
12
Lattice="-0.197 -4.564 5.409 -0.331 -6.651 -2.512 5.968 -3.621 -1.282" Properties=species:S:1:pos:R:3 pbc="T T T"
Tb 3.808 -8.579 2.260
Tb -0.125 -2.652 0.710
Tb 3.737 -9.692 -1.909
Tb 1.632 -6.257 -0.644
Tb 1.703 -5.144 3.525
Tb -0.404 -8.563 2.187
Se 3.739 -5.800 1.432
Se 1.701 -9.036 0.184
Se -0.264 -5.607 1.449
Se 1.862 -3.423 -1.264
Se 3.775 -6.849 -2.529
Be 0.000 0.000 0.000
```

***

Record 11
The following is a PBE calculation of an optimized crystal structure of NbSIN2, from the Alexandria database.

## Properties
Space-group type = P4/mmm (123)
N(E_F) = 3.99 states/eV/f.u.
Calculated density = 5.61 g/cm³
E_form (uncorrected) = 1.861 eV/atom
M_tot = 2.06 Bohr magnetons per cell

Geometry as extended XYZ:
```
5
Lattice="4.013 0.000 0.000 0.000 4.013 0.000 0.000 0.000 5.145" Properties=species:S:1:pos:R:3 pbc="T T T"
S 0.000 0.000 2.573
N 0.000 2.006 0.000
N 2.006 0.000 0.000
Nb 2.006 2.006 2.573
I 0.000 0.000 0.000
```

***

Record 12
The following is a PBE calculation of an optimized crystal structure of NbSN, from the Alexandria database.

## Properties
Space-group type = P2/c (13)
N(E_F) = 1.02 states/eV/f.u.
Calculated density = 5.16 g/cm³
E_form (uncorrected) = -0.476 eV/atom
M_tot = 0.00 Bohr magnetons per cell

Geometry as extended XYZ:
```
6
Lattice="-3.747 0.844 -0.849 -0.568 -3.904 0.142 -1.195 0.379 5.645" Properties=species:S:1:pos:R:3 pbc="T T T"
Nb -1.598 -3.527 0.516
Nb -3.523 -1.047 1.604
N -1.481 -1.522 1.232
N -3.640 -3.052 0.887
S -2.872 -0.143 3.810
S -5.031 -1.674 3.458
```